No. 1
Compound: CaGdErAl
Source: the Alexandria database
Functional: PBE
Structure: relaxed

It has space group F-43m (No. 216), with a = 7.6083 Å, b = 7.6083 Å, c = 7.6083 Å, α = 90.00°, β = 90.00° and γ = 90.00°. The asymmetric unit holds Ca at (0.0000, 0.0000, 0.0000), Gd at (0.2500, 0.2500, 0.7500), Er at (0.2500, 0.2500, 0.2500) and Al at (0.0000, 0.0000, 0.5000).

For the calculated formation energy, the calculation gives -48 meV/atom.

No. 2
Compound: Li3Cd2Ag2
Source: the Alexandria database
Functional: PBE
Structure: relaxed

It has space group P-1 (No. 2), with a = 4.4350 Å, b = 5.2351 Å, c = 5.9396 Å, α = 87.79°, β = 89.74° and γ = 65.23°. The asymmetric unit holds Li at (0.0000, 0.0000, 0.0000), Li at (0.2850, 0.4305, 0.8358), Cd at (0.4250, 0.1516, 0.2701) and Ag at (0.1380, 0.7204, 0.4161).

For the calculated formation energy, the calculation gives -188 meV/atom.

No. 3
Compound: Ac4IrAu3
Source: the Alexandria database
Functional: PBE
Structure: relaxed

It has space group Pm-3m (No. 221), with a = 6.3495 Å, b = 6.3495 Å, c = 6.3495 Å, α = 90.00°, β = 90.00° and γ = 90.00°. The asymmetric unit holds Ac at (0.0000, 0.0000, 0.0000), Ac at (0.0000, 0.5000, 0.5000), Ir at (0.5000, 0.5000, 0.5000) and Au at (0.0000, 0.0000, 0.5000).

The value obtained for the relative energy among the computed polymorphs is 63 meV/atom. For the calculated formation energy, the calculation gives -736 meV/atom.

No. 4
Compound: LaMg2In2
Source: the Alexandria database
Functional: PBE
Structure: relaxed

It has space group P4/mbm (No. 127), with a = 8.8275 Å, b = 8.8275 Å, c = 3.2525 Å, α = 90.00°, β = 90.00° and γ = 90.00°. The asymmetric unit holds La at (0.0000, 0.0000, 0.0000), Mg at (0.1227, 0.3773, 0.0000) and In at (0.1732, 0.6732, 0.5000).

For the calculated formation energy, the calculation gives -254 meV/atom.